# NdLuZnPd (PBE, optimized geometry)
# ΔE_f = -0.557 eV/atom
# crystal system = cubic
# volume = 22.67 Å³/atom
# density of states at the Fermi level = 13.08 states/eV/cell
data_NdLuZnPd
_chemical_formula_sum 'Nd4 Lu4 Zn4 Pd4'
_cell_length_a 7.1320
_cell_length_b 7.1320
_cell_length_c 7.1320
_cell_angle_alpha 90.00
_cell_angle_beta 90.00
_cell_angle_gamma 90.00
_symmetry_space_group_name_H-M 'F -4 3 m'
_symmetry_Int_Tables_number 216
_symmetry_space_group_name_Hall 'F -4 2 3'
loop_
_atom_site_label
_atom_site_type_symbol
_atom_site_fract_x
_atom_site_fract_y
_atom_site_fract_z
Nd1 Nd 0.0000 0.0000 0.0000
Lu1 Lu 0.0000 0.0000 0.5000
Zn1 Zn 0.2500 0.2500 0.7500
Pd1 Pd 0.2500 0.2500 0.2500